8
Lattice="-5.1276 5.1276 2.3357 5.1276 -5.1276 2.3357 5.1276 5.1276 -2.3357" Properties=species:S:1:pos:R:3 comment="AsRuI2, optimized geometry, DFT PBE" dos_at_fermi_per_ev_fu=2.5 relative_energy_ev_per_atom=0.000 formation_energy_uncorrected_ev_per_atom=0.210 pbc="T T T"
As 0.0000 0.0000 0.0000
As 0.0000 5.1276 1.1679
Ru 5.1276 0.0000 1.1679
Ru 0.0000 0.0000 2.3357
I 2.5638 -0.9513 1.7518
I 4.1763 2.5638 0.5839
I 2.5638 6.0789 -0.5839
I 0.9513 2.5638 2.9197